Version P
A geometry-optimized SnPO2 structure, computed with PBE-GGA.

## Properties
magnetization = 0.000 μB/atom

Unit cell a=7.1061 b=7.1061 c=7.1061 alpha=24.96 beta=24.96 gamma=24.96
Sites, in units of the cell vectors:
Sn: 0.0000 0.0000 0.0000
P: 0.5000 0.5000 0.5000
O: 0.4217 0.4217 0.4217
O: 0.5783 0.5783 0.5783

---

Version Q
A geometry-optimized SnPO2 structure, computed with PBE-GGA.

## Properties
magnetization = 0.000 μB/atom

Unit cell a=7.0676 b=7.0676 c=7.0676 alpha=25.82 beta=25.82 gamma=25.82
Sites, in units of the cell vectors:
Sn: 0.0000 0.0000 0.0000
P: 0.5000 0.5000 0.5000
O: 0.1151 0.1151 0.1151
O: 0.8849 0.8849 0.8849

---

Version R
A geometry-optimized SnPO2 structure, computed with PBE-GGA.

## Properties
magnetization = 0.000 μB/atom

Unit cell a=4.1744 b=4.1744 c=4.1744 alpha=60.00 beta=60.00 gamma=60.00
Sites, in units of the cell vectors:
Sn: 0.0000 0.0000 0.0000
P: 0.5000 0.5000 0.5000
O: 0.2500 0.2500 0.2500
O: 0.7500 0.7500 0.7500

---

Version S
A geometry-optimized SnPO2 structure, computed with PBE-GGA.

## Properties
magnetization = 0.000 μB/atom

Unit cell a=5.6845 b=5.6845 c=5.6845 alpha=60.00 beta=60.00 gamma=60.00
Sites, in units of the cell vectors:
Sn: 0.1250 0.1250 0.1250
Sn: 0.8750 0.8750 0.8750
P: 0.3750 0.3750 0.3750
P: 0.6250 0.6250 0.6250
O: 0.0000 0.5000 0.5000
O: 0.5000 0.0000 0.5000
O: 0.5000 0.5000 0.0000
O: 0.5000 0.5000 0.5000

---

The structure with the least stability is version R.